*i*
! DyTh2H | Alexandria via LeMat-Bulk | PBE-GGA | optimized geometry; values from VASP
! DOS at the Fermi energy = 4.13 states/eV/f.u.
! Space group = R-3m (166)
! Magnetic moment = 0.0 Bohr magnetons per cell
&SYSTEM
  ibrav = 0, nat = 4, ntyp = 3
/
ATOMIC_SPECIES
Dy 162.50 Dy.upf
Th 232.04 Th.upf
H 1.01 H.upf
ATOMIC_POSITIONS crystal
Dy 0.000 0.000 0.000
Th 0.113 0.113 0.113
Th 0.887 0.887 0.887
H 0.500 0.500 0.500
CELL_PARAMETERS angstrom
1.720 0.993 9.770
-1.720 0.993 9.770
0.000 -1.986 9.770

*ii*
! DyTh2H | Alexandria via LeMat-Bulk | PBE-GGA | optimized geometry; values from VASP
! DOS at the Fermi energy = 3.76 states/eV/f.u.
! Space group = P4/mmm (123)
! Magnetic moment = 0.0 Bohr magnetons per cell
&SYSTEM
  ibrav = 0, nat = 4, ntyp = 3
/
ATOMIC_SPECIES
Dy 162.50 Dy.upf
Th 232.04 Th.upf
H 1.01 H.upf
ATOMIC_POSITIONS crystal
Dy 0.000 0.000 0.000
Th 0.500 0.500 0.317
Th 0.500 0.500 0.683
H 0.000 0.000 0.500
CELL_PARAMETERS angstrom
3.392 0.000 0.000
0.000 3.392 0.000
0.000 0.000 8.629

Stability check: which of them is most stable? *i*.

*i*
! Dy4Tl3H2 | Alexandria via LeMat-Bulk | PBE-GGA | optimized geometry; values from VASP
! DOS at the Fermi energy = 5.10 states/eV/f.u.
! Space group = C2/c (15)
! Magnetic moment = 0.0 Bohr magnetons per cell
&SYSTEM
  ibrav = 0, nat = 18, ntyp = 3
/
ATOMIC_SPECIES
Dy 162.50 Dy.upf
Tl 204.38 Tl.upf
H 1.01 H.upf
ATOMIC_POSITIONS crystal
Dy 0.106 0.657 0.984
Dy 0.225 0.381 0.415
Dy 0.343 0.894 0.516
Dy 0.381 0.225 0.915
Dy 0.619 0.775 0.085
Dy 0.657 0.106 0.484
Dy 0.775 0.619 0.585
Dy 0.894 0.343 0.016
Tl 0.014 0.791 0.465
Tl 0.209 0.986 0.035
Tl 0.487 0.513 0.750
Tl 0.513 0.487 0.250
Tl 0.791 0.014 0.965
Tl 0.986 0.209 0.535
H 0.143 0.399 0.072
H 0.399 0.143 0.572
H 0.601 0.857 0.428
H 0.857 0.601 0.928
CELL_PARAMETERS angstrom
6.999 -4.663 0.000
6.999 4.663 0.000
-1.337 0.000 6.295

*ii*
! Dy4Tl3H2 | Alexandria via LeMat-Bulk | PBE-GGA | optimized geometry; values from VASP
! DOS at the Fermi energy = 4.42 states/eV/f.u.
! Space group = C2/m (12)
! Magnetic moment = 0.0 Bohr magnetons per cell
&SYSTEM
  ibrav = 0, nat = 9, ntyp = 3
/
ATOMIC_SPECIES
Dy 162.50 Dy.upf
Tl 204.38 Tl.upf
H 1.01 H.upf
ATOMIC_POSITIONS crystal
Dy 0.130 0.130 0.420
Dy 0.283 0.283 0.853
Dy 0.717 0.717 0.147
Dy 0.870 0.870 0.580
Tl 0.000 0.000 0.000
Tl 0.417 0.417 0.277
Tl 0.583 0.583 0.723
H 0.300 0.300 0.599
H 0.700 0.700 0.401
CELL_PARAMETERS angstrom
5.429 -2.179 0.000
5.429 2.179 0.000
-1.352 0.000 8.325

Stability check: which of them is most stable? *ii*.

*i*
! Dy2TlH | Alexandria via LeMat-Bulk | PBE-GGA | optimized geometry; values from VASP
! DOS at the Fermi energy = 3.20 states/eV/f.u.
! Space group = R-3m (166)
! Magnetic moment = 0.0 Bohr magnetons per cell
&SYSTEM
  ibrav = 0, nat = 4, ntyp = 3
/
ATOMIC_SPECIES
Dy 162.50 Dy.upf
Tl 204.38 Tl.upf
H 1.01 H.upf
ATOMIC_POSITIONS crystal
Dy 0.224 0.224 0.224
Dy 0.776 0.776 0.776
Tl 0.000 0.000 0.000
H 0.500 0.500 0.500
CELL_PARAMETERS angstrom
1.799 1.039 7.850
-1.799 1.039 7.850
0.000 -2.078 7.850

*ii*
! Dy2TlH | Alexandria via LeMat-Bulk | PBE-GGA | optimized geometry; values from VASP
! DOS at the Fermi energy = 3.62 states/eV/f.u.
! Space group = P4/mmm (123)
! Magnetic moment = 0.0 Bohr magnetons per cell
&SYSTEM
  ibrav = 0, nat = 4, ntyp = 3
/
ATOMIC_SPECIES
Dy 162.50 Dy.upf
Tl 204.38 Tl.upf
H 1.01 H.upf
ATOMIC_POSITIONS crystal
Dy 0.000 0.000 0.210
Dy 0.000 0.000 0.790
Tl 0.500 0.500 0.500
H 0.500 0.500 0.000
CELL_PARAMETERS angstrom
3.390 0.000 0.000
0.000 3.390 0.000
0.000 0.000 7.551

Stability check: which of them is most stable? *i*.